Record 1
# Hf2MnGaC

Crystalline Hf2MnGaC at its relaxed geometry (PBE, Alexandria via LeMat-Bulk).

Properties
- spin magnetization (μB/atom) = 0.259
- symmetry = No. 123
- density (g cm⁻³) = 10.72
- E_form (eV/atom) = -0.42

a b c (Å): 4.5026 4.5026 3.7725
angles (deg): 90.00 90.00 90.00
Site moments in Bohr magnetons follow the coordinates.
Positions (direct):
C: 0.0000 0.0000 0.0000  -0.03
Mn: 0.0000 0.0000 0.5000  1.32
Hf: 0.5000 0.0000 0.0000  -0.02
Hf: 0.0000 0.5000 0.0000  -0.02
Ga: 0.5000 0.5000 0.5000  0.01


Record 2
# PbI2

Crystalline PbI2 at its relaxed geometry (PBE, Alexandria via LeMat-Bulk).

Properties
- spin magnetization (μB/atom) = 0.000
- formation energy without anion corrections (kJ/mol of atoms) = -63
- symmetry = No. 156
- density (g cm⁻³) = 5.42

a b c (Å): 4.6519 4.6519 37.6647
angles (deg): 90.00 90.00 120.00
Positions (direct):
Pb: 0.3333 0.6667 0.6532
Pb: 0.0000 0.0000 0.8528
Pb: 0.3333 0.6667 0.0529
Pb: 0.3333 0.6667 0.2530
Pb: 0.3333 0.6667 0.4530
I: 0.6667 0.3333 0.7028
I: 0.3333 0.6667 0.8032
I: 0.6667 0.3333 0.1026
I: 0.0000 0.0000 0.2033
I: 0.0000 0.0000 0.0032
I: 0.6667 0.3333 0.3027
I: 0.0000 0.0000 0.6035
I: 0.0000 0.0000 0.4034
I: 0.6667 0.3333 0.5027
I: 0.6667 0.3333 0.9025


Record 3
# La3Ir

Crystalline La3Ir at its relaxed geometry (PBE, Alexandria via LeMat-Bulk).

Properties
- spin magnetization (μB/atom) = 0.000
- symmetry = No. 62
- density (g cm⁻³) = 8.07
- E_form (eV/atom) = -0.49

a b c (Å): 6.6310 7.4202 10.1811
angles (deg): 90.00 90.00 90.00
Positions (direct):
Ir: 0.5672 0.3758 0.7500
Ir: 0.4328 0.6242 0.2500
Ir: 0.9328 0.8758 0.7500
Ir: 0.0672 0.1242 0.2500
La: 0.8285 0.1695 0.9321
La: 0.8285 0.1695 0.5679
La: 0.3285 0.3305 0.4321
La: 0.6715 0.6695 0.9321
La: 0.3501 0.0395 0.7500
La: 0.1499 0.5395 0.7500
La: 0.1715 0.8305 0.4321
La: 0.1715 0.8305 0.0679
La: 0.6715 0.6695 0.5679
La: 0.3285 0.3305 0.0679
La: 0.8501 0.4605 0.2500
La: 0.6499 0.9605 0.2500


Record 4
# La2MgBi2

Crystalline La2MgBi2 at its relaxed geometry (PBE, Alexandria via LeMat-Bulk).

Properties
- spin magnetization (μB/atom) = 0.000
- polymorph energy (0 for the lowest one) (eV/atom) = 0.142
- symmetry = No. 127
- density (g cm⁻³) = 7.06
- E_form (eV/atom) = -0.60

a b c (Å): 8.9057 8.9057 4.2679
angles (deg): 90.00 90.00 90.00
Positions (direct):
La: 0.8579 0.6421 0.0000
La: 0.6421 0.1421 0.0000
La: 0.1421 0.3579 0.0000
La: 0.3579 0.8579 0.0000
Mg: 0.5000 0.5000 0.0000
Mg: 0.0000 0.0000 0.0000
Bi: 0.1625 0.6625 0.5000
Bi: 0.6625 0.8375 0.5000
Bi: 0.8375 0.3375 0.5000
Bi: 0.3375 0.1625 0.5000


Number 1: calculated volume 15.30 Å³/atom. Number 2: calculated volume 47.06 Å³/atom. Number 3: calculated volume 31.31 Å³/atom. Number 4: calculated volume 33.85 Å³/atom.